Entry 1:
VASP calculation (PBE) on an optimized crystal structure of LaCdInBi.

Unit cell a=4.7992 b=4.6968 c=5.0559 alpha=90.00 beta=90.00 gamma=90.00
Positions (direct):
In: 0.0000 0.5000 0.5000
Cd: 0.5000 0.0000 0.5000
La: 0.0000 0.0000 0.0000
Bi: 0.5000 0.5000 0.0000

Values from the calculation:
**Space-group type**: Pmmm (47)
**E**: -3.62 eV per atom


Entry 2:
VASP calculation (PBE) on an optimized crystal structure of Li2CdInBi.

Unit cell a=5.1180 b=5.3167 c=5.1180 alpha=90.00 beta=90.00 gamma=90.00
Positions (direct):
Bi: 0.5000 0.5000 0.5000
Cd: 0.0000 0.5000 0.0000
Li: 0.5000 0.0000 0.0000
Li: 0.0000 0.0000 0.5000
In: 0.0000 0.0000 0.0000

Values from the calculation:
**Space-group type**: P4/mmm (123)
**E**: -2.05 eV per atom


Entry 3:
VASP calculation (PBE) on an optimized crystal structure of MgCdIn2Bi.

Unit cell a=4.6708 b=7.2136 c=8.9940 alpha=73.28 beta=90.00 gamma=90.00
Positions (direct):
In: 0.7500 0.9765 0.8817
In: 0.2500 0.0235 0.1183
In: 0.7500 0.0227 0.3664
In: 0.2500 0.9773 0.6336
Cd: 0.7500 0.3383 0.0312
Cd: 0.2500 0.6617 0.9688
Bi: 0.2500 0.3867 0.7546
Bi: 0.7500 0.6133 0.2454
Mg: 0.2500 0.6828 0.4406
Mg: 0.7500 0.3172 0.5594

Values from the calculation:
**Space-group type**: P2_1/m (11)
**E**: -2.35 eV per atom


Entry 4:
VASP calculation (PBE) on an optimized crystal structure of NaCdInBi.

Unit cell a=5.3929 b=5.3929 c=5.3929 alpha=60.00 beta=60.00 gamma=60.00
Positions (direct):
In: 0.0000 0.0000 0.0000
Cd: 0.7500 0.7500 0.7500
Na: 0.2500 0.2500 0.2500
Bi: 0.5000 0.5000 0.5000

Values from the calculation:
**Space-group type**: F-43m (216)
**Offset from the most stable computed form**: 0.000 eV per atom
**E**: -2.31 eV per atom


Entry 5:
VASP calculation (PBE) on an optimized crystal structure of Na2Cd2InBi2.

Unit cell a=5.3747 b=5.3747 c=8.9988 alpha=72.62 beta=72.62 gamma=60.00
Positions (direct):
Na: 0.8701 0.8701 0.3898
Na: 0.1299 0.1299 0.6102
Bi: 0.7388 0.7388 0.7835
Bi: 0.2612 0.2612 0.2165
In: 0.0000 0.0000 0.0000
Cd: 0.3900 0.3900 0.8300
Cd: 0.6100 0.6100 0.1700

Values from the calculation:
**Space-group type**: R-3m (166)
**E**: -2.28 eV per atom


Entry 6:
VASP calculation (PBE) on an optimized crystal structure of NaCd2InBi.

Unit cell a=5.8793 b=5.7861 c=5.8793 alpha=90.00 beta=90.00 gamma=90.00
Positions (direct):
In: 0.5000 0.5000 0.5000
Na: 0.0000 0.5000 0.0000
Cd: 0.0000 0.0000 0.5000
Cd: 0.5000 0.0000 0.0000
Bi: 0.0000 0.0000 0.0000

Values from the calculation:
**Space-group type**: P4/mmm (123)
**E**: -1.69 eV per atom


Entry 7:
VASP calculation (PBE) on an optimized crystal structure of NaCdInBi.

Unit cell a=3.9183 b=3.9183 c=7.2573 alpha=90.00 beta=90.00 gamma=90.02
Positions (direct):
Na: 0.6462 0.3538 0.9653
Cd: 0.6463 0.3537 0.4843
Bi: 0.1461 0.8539 0.2432
In: 0.1464 0.8536 0.6959

Values from the calculation:
**Space-group type**: P4mm (99)
**Offset from the most stable computed form**: 0.028 eV per atom
**E**: -2.28 eV per atom


Entry 8:
VASP calculation (PBE) on an optimized crystal structure of NpCdInBi.

Unit cell a=4.4745 b=4.6415 c=5.0609 alpha=90.00 beta=90.00 gamma=90.00
Positions (direct):
In: 0.0000 0.5000 0.5000
Cd: 0.5000 0.0000 0.5000
Np: 0.5000 0.5000 0.0000
Bi: 0.0000 0.0000 0.0000

Values from the calculation:
**Space-group type**: Pmmm (47)
**E**: -5.12 eV per atom


Entry 9:
VASP calculation (PBE) on an optimized crystal structure of CdInBi2O6.

Unit cell a=5.8413 b=5.8415 c=6.1571 alpha=61.68 beta=61.68 gamma=60.00
Positions (direct):
O: 0.2057 0.9423 0.2403
O: 0.1326 0.4109 0.7546
O: 0.4108 0.7020 0.7544
O: 0.7020 0.1327 0.7545
O: 0.9424 0.6116 0.2404
O: 0.6117 0.2057 0.2403
Cd: 0.8018 0.8018 0.5946
In: 0.3125 0.3125 0.0626
Bi: 0.0182 0.0182 0.9453
Bi: 0.5239 0.5239 0.4282

Values from the calculation:
**Space-group type**: R3 (146)
**E**: -5.30 eV per atom
**Energy relative to the elements, uncorrected**: -1.187 eV per atom


Entry 10:
VASP calculation (PBE) on an optimized crystal structure of CdIn2BiO6.

Unit cell a=5.7274 b=5.7274 c=5.9905 alpha=61.44 beta=61.44 gamma=60.00
Positions (direct):
O: 0.2265 0.9018 0.2402
O: 0.3915 0.7151 0.7507
O: 0.7151 0.1427 0.7507
O: 0.1427 0.3915 0.7507
O: 0.6314 0.2266 0.2402
O: 0.9018 0.6314 0.2403
Bi: 0.3094 0.3094 0.0717
In: 0.0206 0.0206 0.9383
In: 0.5227 0.5226 0.4320
Cd: 0.7999 0.7999 0.6003

Values from the calculation:
**Space-group type**: R3 (146)
**E**: -5.27 eV per atom
**Energy relative to the elements, uncorrected**: -1.270 eV per atom


Entry 11:
VASP calculation (PBE) on an optimized crystal structure of CdIn2BiOs.

Unit cell a=5.2668 b=5.2590 c=5.2668 alpha=90.00 beta=90.00 gamma=90.00
Positions (direct):
Os: 0.0000 0.0000 0.0000
In: 0.5000 0.0000 0.0000
In: 0.0000 0.0000 0.5000
Cd: 0.5000 0.5000 0.5000
Bi: 0.0000 0.5000 0.0000

Values from the calculation:
**Space-group type**: P4/mmm (123)
**E**: -3.95 eV per atom


Entry 12:
VASP calculation (PBE) on an optimized crystal structure of PaCdInBi.

Unit cell a=4.4450 b=4.6701 c=4.9980 alpha=90.00 beta=90.00 gamma=90.00
Positions (direct):
In: 0.5000 0.5000 0.0000
Pa: 0.0000 0.5000 0.5000
Bi: 0.5000 0.0000 0.5000
Cd: 0.0000 0.0000 0.0000

Values from the calculation:
**Space-group type**: Pmmm (47)
**E**: -4.36 eV per atom